Record 1
Density functional theory data (PBE-GGA) for NdDySb2Rh5 after structural relaxation.

Geometry as POSCAR:
```
NdDySb2Rh5
1.0
4.4736 0.0000 0.0000
0.0000 4.4736 0.0000
0.0000 0.0000 8.9772
Rh Dy Sb Nd
5 1 2 1
Direct
0.0000 0.5000 0.7176 Rh
0.5000 0.0000 0.2824 Rh
0.5000 0.5000 0.5000 Rh
0.5000 0.0000 0.7176 Rh
0.0000 0.5000 0.2824 Rh
0.0000 0.0000 0.0000 Dy
0.5000 0.5000 0.8431 Sb
0.5000 0.5000 0.1569 Sb
0.0000 0.0000 0.5000 Nd
```

Results
Total magnetization ... 0.00 μB per cell
VASP energy ... -6.562 eV/atom

=====

Record 2
Density functional theory data (PBE-GGA) for NdDySiRh after structural relaxation.

Geometry as POSCAR:
```
NdDySiRh
1.0
4.2423 0.0000 0.0000
0.0000 4.0956 0.0000
-2.1212 0.0000 5.2822
Nd Dy Rh Si
1 1 1 1
Direct
0.1460 0.0000 0.2919 Nd
0.8637 0.5000 0.7273 Dy
0.4256 0.0000 0.8512 Rh
0.5648 0.5000 0.1295 Si
```

Results
Total magnetization ... 0.00 μB per cell
VASP energy ... -6.329 eV/atom

=====

Record 3
Density functional theory data (PBE-GGA) for NdDySnRh after structural relaxation.

Geometry as POSCAR:
```
NdDySnRh
1.0
-0.5791 -4.7852 1.9213
-1.2109 -3.9349 -3.1583
3.5230 -3.6617 -1.0512
Dy Rh Nd Sn
1 1 1 1
Direct
0.0000 0.0000 0.0000 Dy
0.7500 0.7500 0.7500 Rh
0.5000 0.5000 0.5000 Nd
0.2500 0.2500 0.2500 Sn
```

Results
Total magnetization ... 0.00 μB per cell
Energy of formation from the pure elements ... -0.595 eV per atom

=====

Record 4
Density functional theory data (PBE-GGA) for Nd2DySn3Rh4 after structural relaxation.

Geometry as POSCAR:
```
Nd2DySn3Rh4
1.0
4.4152 0.0000 0.0000
0.0000 4.4152 0.0000
0.0000 0.0000 11.4648
Rh Sn Dy Nd
4 3 1 2
Direct
0.5000 0.0000 0.6466 Rh
0.0000 0.5000 0.3534 Rh
0.0000 0.0000 0.0000 Rh
0.5000 0.5000 0.0000 Rh
0.5000 0.0000 0.8739 Sn
0.0000 0.5000 0.1261 Sn
0.0000 0.0000 0.5000 Sn
0.5000 0.5000 0.5000 Dy
0.0000 0.5000 0.7682 Nd
0.5000 0.0000 0.2318 Nd
```

Results
Total magnetization ... 0.00 μB per cell
Energy of formation from the pure elements ... -0.749 eV per atom